Entry 1:
{
  "formula": "Mn2IrAu",
  "functional": "PBE",
  "state": "relaxed",
  "lattice_angstrom": [[2.7427, 0.0000, 0.0000], [0.0000, 2.7427, 0.0000], [0.0000, 0.0000, 7.6519]],
  "species": ["Mn", "Mn", "Ir", "Au"],
  "fractional_positions": [[0.0000, 0.0000, 0.0000], [0.5000, 0.5000, 0.2278], [0.5000, 0.5000, 0.7879], [0.0000, 0.0000, 0.4938]],
  "space_group": "P4mm (99)",
  "relative_energy_ev_per_fu": 0.60,
  "vol_a3_per_fu": 57.56,
  "dos_at_fermi_per_ev_fu": 4.015,
  "e_form_mev_per_atom": 108.4
}

=====

Entry 2:
{
  "formula": "K2RbBa2Sr4",
  "functional": "PBE",
  "state": "relaxed",
  "lattice_angstrom": [[4.3952, 0.0000, 0.0000], [-2.1976, 3.8064, 0.0000], [0.0000, 0.0000, 34.1633]],
  "species": ["K", "K", "Rb", "Ba", "Ba", "Sr", "Sr", "Sr", "Sr"],
  "fractional_positions": [[0.0000, 0.0000, 0.0000], [0.0000, 0.0000, 0.2443], [0.3333, 0.6667, 0.1220], [0.0000, 0.0000, 0.4593], [0.3333, 0.6667, 0.7731], [0.0000, 0.0000, 0.6672], [0.0000, 0.0000, 0.8770], [0.3333, 0.6667, 0.3547], [0.3333, 0.6667, 0.5653]],
  "space_group": "P3m1 (156)",
  "vol_a3_per_fu": 571.55,
  "dos_at_fermi_per_ev_fu": 10.072,
  "e_form_mev_per_atom": 50.4
}

=====

Entry 3:
{
  "formula": "La3Ho3PuTe8",
  "functional": "PBE",
  "state": "relaxed",
  "lattice_angstrom": [[4.4216, 2.5528, 7.3396], [-4.4216, 2.5528, 7.3396], [0.0000, -5.1056, 7.3396]],
  "species": ["La", "La", "La", "Ho", "Ho", "Ho", "Pu", "Te", "Te", "Te", "Te", "Te", "Te", "Te", "Te"],
  "fractional_positions": [[0.0000, 0.5000, 0.5000], [0.5000, 0.0000, 0.5000], [0.5000, 0.5000, 0.0000], [0.0000, 0.0000, 0.5000], [0.0000, 0.5000, 0.0000], [0.5000, 0.0000, 0.0000], [0.5000, 0.5000, 0.5000], [0.2339, 0.7543, 0.7543], [0.2442, 0.2442, 0.2442], [0.2457, 0.2457, 0.7661], [0.2457, 0.7661, 0.2457], [0.7543, 0.2339, 0.7543], [0.7543, 0.7543, 0.2339], [0.7558, 0.7558, 0.7558], [0.7661, 0.2457, 0.2457]],
  "formation_energy_uncorrected_kj_per_mol_atoms": -136.6,
  "space_group": "R-3m (166)",
  "vol_a3_per_fu": 497.08,
  "dos_at_fermi_per_ev_fu": 20.179
}

=====

Entry 4:
{
  "formula": "Nb2CoCuBi",
  "functional": "PBE",
  "state": "relaxed",
  "lattice_angstrom": [[4.6038, 0.0000, 0.0000], [0.0000, 4.6038, 0.0000], [0.0000, 0.0000, 4.5739]],
  "species": ["Nb", "Nb", "Co", "Cu", "Bi"],
  "fractional_positions": [[0.0000, 0.5000, 0.0000], [0.5000, 0.0000, 0.0000], [0.0000, 0.0000, 0.0000], [0.0000, 0.0000, 0.5000], [0.5000, 0.5000, 0.5000]],
  "space_group": "P4/mmm (123)",
  "vol_a3_per_fu": 96.94,
  "dos_at_fermi_per_ev_fu": 5.009,
  "e_form_mev_per_atom": 583.8
}

=====

Entry 5:
{
  "formula": "YLuGaRu",
  "functional": "PBE",
  "state": "relaxed",
  "lattice_angstrom": [[0.0000, 3.4551, 3.4551], [3.4551, 0.0000, 3.4551], [3.4551, 3.4551, 0.0000]],
  "species": ["Y", "Lu", "Ga", "Ru"],
  "fractional_positions": [[0.0000, 0.0000, 0.0000], [0.5000, 0.5000, 0.5000], [0.2500, 0.2500, 0.2500], [0.7500, 0.7500, 0.7500]],
  "space_group": "F-43m (216)",
  "vol_a3_per_fu": 82.49,
  "dos_at_fermi_per_ev_fu": 2.619,
  "e_form_mev_per_atom": -481.6
}

=====

Entry 6:
{
  "formula": "SiP",
  "functional": "PBE",
  "state": "relaxed",
  "lattice_angstrom": [[3.0522, 0.0000, 0.0000], [0.0000, 3.0522, 0.0000], [0.0000, 0.0000, 3.0522]],
  "species": ["Si", "P"],
  "fractional_positions": [[0.0000, 0.0000, 0.0000], [0.5000, 0.5000, 0.5000]],
  "formation_energy_uncorrected_kj_per_mol_atoms": 50.0,
  "space_group": "Pm-3m (221)",
  "vol_a3_per_fu": 28.43,
  "dos_at_fermi_per_ev_fu": 0.687
}